The following is a PBE calculation of crystalline Sm8Ga2Sb at its relaxed geometry, from Alexandria via LeMat-Bulk.

Calculated values
Raw formation energy: -0.36 eV per atom
Energy: -4.7201 eV/atom

Lattice parameters (Å, degrees): 10.073 10.073 6.946 101.82 101.82 28.85
Fractional coordinates of all 11 atoms:
Sm  0.033  0.033  0.262
Sm  0.210  0.210  0.825
Sm  0.337  0.337  0.518
Sm  0.407  0.407  0.040
Sm  0.593  0.593  0.960
Sm  0.663  0.663  0.482
Sm  0.790  0.790  0.175
Sm  0.967  0.967  0.738
Ga  0.188  0.188  0.253
Ga  0.812  0.812  0.747
Sb  0.500  0.500  0.500

---

The following is a PBE calculation of crystalline Sm7Ga2Sb2 at its relaxed geometry, from Alexandria via LeMat-Bulk.

Calculated values
Raw formation energy: -0.36 eV per atom
Energy: -4.6671 eV/atom

Lattice parameters (Å, degrees): 6.791 6.791 7.779 90.00 90.00 107.98
Fractional coordinates of all 11 atoms:
Sm  0.000  0.000  0.000
Sm  0.000  0.500  0.292
Sm  0.000  0.500  0.708
Sm  0.500  0.000  0.292
Sm  0.500  0.000  0.708
Sm  0.500  0.500  0.280
Sm  0.500  0.500  0.720
Ga  0.165  0.165  0.500
Ga  0.835  0.835  0.500
Sb  0.292  0.708  0.000
Sb  0.708  0.292  0.000

---

The following is a PBE calculation of crystalline Sm5Ga2Sb at its relaxed geometry, from Alexandria via LeMat-Bulk.

Calculated values
Raw formation energy: -0.63 eV per atom
Energy: -4.8530 eV/atom

Lattice parameters (Å, degrees): 8.759 8.759 8.759 123.23 123.23 84.48
Fractional coordinates of all 16 atoms:
Sm  0.000  0.000  0.000
Sm  0.013  0.513  0.814
Sm  0.199  0.013  0.500
Sm  0.301  0.801  0.814
Sm  0.487  0.301  0.500
Sm  0.500  0.500  0.000
Sm  0.513  0.699  0.500
Sm  0.699  0.199  0.186
Sm  0.801  0.987  0.500
Sm  0.987  0.487  0.186
Ga  0.143  0.357  0.500
Ga  0.357  0.857  0.213
Ga  0.643  0.143  0.787
Ga  0.857  0.643  0.500
Sb  0.250  0.250  0.000
Sb  0.750  0.750  0.000

---

The following is a PBE calculation of crystalline SmGaSb2 at its relaxed geometry, from Alexandria via LeMat-Bulk.

Calculated values
Raw formation energy: -0.50 eV per atom
Energy: -4.4994 eV/atom
Excess energy over the best structure of this formula in the dataset: 128 meV per atom

Lattice parameters (Å, degrees): 4.770 4.770 4.497 90.00 90.00 90.00
Fractional coordinates of all 4 atoms:
Sm  0.000  0.000  0.000
Ga  0.500  0.500  0.000
Sb  0.000  0.500  0.500
Sb  0.500  0.000  0.500

---

The following is a PBE calculation of crystalline SmGa4Sb at its relaxed geometry, from Alexandria via LeMat-Bulk.

Calculated values
Raw formation energy: -0.26 eV per atom
Energy: -3.7496 eV/atom

Lattice parameters (Å, degrees): 5.643 5.643 5.643 60.00 60.00 60.00
Fractional coordinates of all 6 atoms:
Sm  0.000  0.000  0.000
Ga  0.125  0.625  0.625
Ga  0.625  0.125  0.625
Ga  0.625  0.625  0.125
Ga  0.625  0.625  0.625
Sb  0.250  0.250  0.250

---

The following is a PBE calculation of crystalline Sm6Ga2Sb at its relaxed geometry, from Alexandria via LeMat-Bulk.

Calculated values
Raw formation energy: -0.50 eV per atom
Energy: -4.7792 eV/atom

Lattice parameters (Å, degrees): 8.816 8.816 8.816 113.14 110.98 104.42
Fractional coordinates of all 18 atoms:
Sm  0.030  0.233  0.796
Sm  0.184  0.279  0.464
Sm  0.184  0.721  0.905
Sm  0.324  0.030  0.706
Sm  0.324  0.618  0.294
Sm  0.437  0.233  0.204
Sm  0.563  0.767  0.796
Sm  0.676  0.382  0.706
Sm  0.676  0.970  0.294
Sm  0.816  0.279  0.095
Sm  0.816  0.721  0.536
Sm  0.970  0.767  0.204
Ga  0.119  0.619  0.500
Ga  0.367  0.000  0.367
Ga  0.633  0.000  0.633
Ga  0.881  0.381  0.500
Sb  0.000  0.000  0.000
Sb  0.500  0.500  0.000

---

The following is a PBE calculation of crystalline SmGaSb at its relaxed geometry, from Alexandria via LeMat-Bulk.

Calculated values
Raw formation energy: -0.49 eV per atom
Energy: -4.4429 eV/atom
Excess energy over the best structure of this formula in the dataset: 46 meV per atom

Lattice parameters (Å, degrees): 5.904 5.904 5.904 142.70 142.70 53.78
Fractional coordinates of all 3 atoms:
Sm  0.000  0.000  0.000
Ga  0.313  0.313  0.000
Sb  0.691  0.691  0.000

---

The following is a PBE calculation of crystalline Sm3GaSb2 at its relaxed geometry, from Alexandria via LeMat-Bulk.

Calculated values
Raw formation energy: -0.85 eV per atom
Energy: -5.0872 eV/atom

Lattice parameters (Å, degrees): 7.665 7.665 7.665 146.71 132.08 59.60
Fractional coordinates of all 6 atoms:
Sm  0.000  0.000  0.000
Sm  0.333  0.333  0.000
Sm  0.667  0.667  0.000
Ga  0.500  0.000  0.500
Sb  0.168  0.668  0.500
Sb  0.832  0.332  0.500